Below is a relaxed structure of EuTmInSn, with properties calculated at the GGA-PBE level.

Cell: 7.6323 7.6323 7.6323 Å, 90.00 90.00 90.00°
Last column: nearest neighbours and their distance in Å.
Space group F-43m (No. 216)
Unique sites:
1 Eu 0.0000 0.0000 0.0000 (multiplicity 4)  4 In 3.30, 4 Sn 3.30
2 Tm 0.0000 0.0000 0.5000 (multiplicity 4)  4 Sn 3.30, 4 In 3.30
3 In 0.2500 0.2500 0.2500 (multiplicity 4)  4 Tm 3.30, 4 Eu 3.30
4 Sn 0.2500 0.2500 0.7500 (multiplicity 4)  4 Tm 3.30, 4 Eu 3.30

Output
The value obtained for the formation energy is -0.492 eV/atom.